# 1
Density functional theory data (PBE) for Pm6Os2Br3N after structural relaxation.

a = 6.9354 Å, b = 6.9354 Å, c = 7.9943 Å
α = 98.34°, β = 98.34°, γ = 119.95°
With the nearest neighbours (Å) after each atom.
Positions (direct):
Pm: 0.9387 0.6282 0.8130  1 N 2.58, 2 Os 2.78-2.80
Pm: 0.7484 0.7484 0.1869  1 N 2.61, 2 Os 2.79
Pm: 0.0613 0.3718 0.1870  1 N 2.58, 2 Os 2.78-2.80
Pm: 0.6282 0.9387 0.8130  1 N 2.58, 2 Os 2.78-2.80
Pm: 0.2516 0.2516 0.8131  1 N 2.61, 2 Os 2.79
Pm: 0.3718 0.0613 0.1870  1 N 2.58, 2 Os 2.78-2.80
Os: 0.3324 0.6676 0.0000  6 Pm 2.78-2.80
Os: 0.6676 0.3324 0.0000  6 Pm 2.78-2.80
Br: 0.1658 0.8342 0.5000  6 Pm 3.27-3.45
Br: 0.8342 0.1658 0.5000  6 Pm 3.27-3.45
Br: 0.5000 0.5000 0.5000  6 Pm 3.28-3.43
N: 0.0000 0.0000 0.0000  6 Pm 2.58-2.61

Output
As for the formation energy from raw total energies: -10.72 eV/f.u. Its space group is C2/m.

---

# 2
Density functional theory data (PBE) for Al2Pd12Pb5 after structural relaxation.

a = 7.6763 Å, b = 7.8422 Å, c = 6.6211 Å
α = 88.91°, β = 90.00°, γ = 119.30°
With the nearest neighbours (Å) after each atom.
Positions (direct):
Al: 0.7189 0.0000 0.0000  8 Pd 2.58-2.80
Al: 0.2811 0.0000 0.0000  8 Pd 2.58-2.80
Pd: 0.9099 0.8199 0.1069  2 Al 2.58, 5 Pd 2.79-2.82
Pd: 0.0445 0.7054 0.7711  1 Al 2.64, 4 Pd 2.77-2.94, 1 Pb 2.83
Pd: 0.6609 0.7054 0.7711  1 Al 2.64, 4 Pd 2.77-2.94, 1 Pb 2.83
Pd: 0.1811 0.7689 0.3531  3 Pd 2.72-2.91, 1 Al 2.80, 4 Pb 2.83-2.95
Pd: 0.5878 0.7689 0.3531  3 Pd 2.72-2.91, 1 Al 2.80, 4 Pb 2.83-2.95
Pd: 0.4555 0.9110 0.7175  2 Al 2.60, 4 Pd 2.72-2.77
Pd: 0.5445 0.0890 0.2825  2 Al 2.60, 4 Pd 2.72-2.77
Pd: 0.8189 0.2311 0.6469  3 Pd 2.72-2.91, 1 Al 2.80, 4 Pb 2.83-2.95
Pd: 0.4122 0.2311 0.6469  3 Pd 2.72-2.91, 1 Al 2.80, 4 Pb 2.83-2.95
Pd: 0.9555 0.2946 0.2289  1 Al 2.64, 4 Pd 2.77-2.94, 1 Pb 2.83
Pd: 0.3391 0.2946 0.2289  1 Al 2.64, 4 Pd 2.77-2.94, 1 Pb 2.83
Pd: 0.0901 0.1801 0.8931  2 Al 2.58, 5 Pd 2.79-2.82
Pb: 0.2462 0.4925 0.5737  10 Pd 2.83-3.08
Pb: 0.3004 0.6009 0.0397  8 Pd 2.83-3.06
Pb: 0.0000 0.0000 0.5000  10 Pd 2.90-3.05
Pb: 0.6996 0.3991 0.9603  8 Pd 2.83-3.06
Pb: 0.7538 0.5075 0.4263  10 Pd 2.83-3.08

Output
For the formation enthalpy at 0 K, the calculation gives -7.2 kcal/mol of atoms. Its space group is C2/m.

---

# 3
Density functional theory data (PBE) for SiPBr2 after structural relaxation.

a = 4.0625 Å, b = 4.0625 Å, c = 8.8721 Å
α = 97.33°, β = 97.33°, γ = 54.38°
With the nearest neighbours (Å) after each atom.
Positions (direct):
Br: 0.9758 0.9758 0.0974  1 Si 2.31
Br: 0.7674 0.7674 0.6552  1 P 2.29
P: 0.5673 0.5673 0.4302  1 Br 2.29, 2 Si 2.34
Si: 0.1894 0.1894 0.3173  1 Br 2.31, 2 P 2.34

Output
As for the formation energy from raw total energies: -0.55 eV/f.u. As for the relative energy among the computed polymorphs: 46 meV per atom. Its space group is Cm.

---

# 4
Density functional theory data (PBE) for ErGa4Cu2Ir after structural relaxation.

a = 4.1732 Å, b = 4.1732 Å, c = 9.1341 Å
α = 76.79°, β = 76.79°, γ = 60.00°
With the nearest neighbours (Å) after each atom.
Positions (direct):
Er: 0.0000 0.0000 0.0000  6 Ga 2.98
Ga: 0.3994 0.3994 0.8017  3 Cu 2.50, 1 Ir 2.66
Ga: 0.8717 0.8717 0.3850  3 Cu 2.60, 3 Ir 2.61
Ga: 0.1283 0.1283 0.6150  3 Cu 2.60, 3 Ir 2.61
Ga: 0.6006 0.6006 0.1983  3 Cu 2.50, 1 Ir 2.66
Cu: 0.7582 0.7582 0.7254  6 Ga 2.50-2.60
Cu: 0.2418 0.2418 0.2746  6 Ga 2.50-2.60
Ir: 0.5000 0.5000 0.5000  8 Ga 2.61-2.66

Output
For the formation enthalpy at 0 K, the calculation gives -7.5 kcal/mol of atoms. Its space group is R-3m.

---

# 5
Density functional theory data (PBE) for TiTlSi2Pd after structural relaxation.

a = 4.8759 Å, b = 4.8203 Å, c = 4.8759 Å
α = 90.00°, β = 90.00°, γ = 90.00°
With the nearest neighbours (Å) after each atom.
Positions (direct):
Tl: 0.5000 0.5000 0.5000  8 Si 3.43, 4 Pd 3.45
Si: 0.0000 0.0000 0.5000  2 Ti 2.44
Si: 0.5000 0.0000 0.0000  2 Ti 2.44
Pd: 0.0000 0.5000 0.0000  2 Ti 2.41
Ti: 0.0000 0.0000 0.0000  2 Pd 2.41, 4 Si 2.44

Output
As for the formation energy from raw total energies: 2.62 eV/f.u. Its space group is P4/mmm.

---

# 6
Density functional theory data (PBE) for InNi2Br after structural relaxation.

a = 4.7829 Å, b = 4.7829 Å, c = 7.8956 Å
α = 72.37°, β = 72.37°, γ = 90.00°
With the nearest neighbours (Å) after each atom.
Positions (direct):
Ni: 0.5401 0.1250 0.2500  2 Br 2.29
Ni: 0.2099 0.6250 0.2500  2 Br 2.29
Ni: 0.3750 0.4599 0.7500  2 Br 2.29
Ni: 0.8750 0.7901 0.7500  2 Br 2.29
Br: 0.5000 0.5000 0.0000  4 Ni 2.29
Br: 0.2500 0.7500 0.5000  4 Ni 2.29
In: 0.0000 0.0000 0.0000  4 Ni 2.68
In: 0.7500 0.2500 0.5000  4 Ni 2.68

Output
As for the formation energy from raw total energies: 1.37 eV/f.u. As for the relative energy among the computed polymorphs: 294 meV per atom. Its space group is I-42d.

---

# 7
Density functional theory data (PBE) for ErZn6CuAg after structural relaxation.

a = 6.9669 Å, b = 8.8608 Å, c = 7.7383 Å
α = 124.93°, β = 116.75°, γ = 90.00°
With the nearest neighbours (Å) after each atom.
Positions (direct):
Er: 0.7035 0.4535 0.4070  9 Zn 2.91-3.09, 2 Cu 3.09
Er: 0.2965 0.5465 0.5930  9 Zn 2.91-3.09, 2 Cu 3.09
Zn: 0.5710 0.8210 0.1421  2 Cu 2.34, 2 Ag 2.58
Zn: 0.9871 0.2371 0.9742  8 Zn 2.86-2.97, 2 Ag 3.06
Zn: 0.9330 0.1427 0.2508  1 Cu 2.53, 3 Zn 2.68-2.76, 1 Ag 2.74
Zn: 0.3178 0.6081 0.2508  1 Cu 2.53, 3 Zn 2.68-2.76, 1 Ag 2.74
Zn: 0.3178 0.1427 0.2508  1 Cu 2.53, 3 Zn 2.68-2.76, 1 Ag 2.74
Zn: 0.9330 0.6081 0.2508  1 Cu 2.53, 3 Zn 2.68-2.76, 1 Ag 2.74
Zn: 0.4290 0.1790 0.8579  2 Cu 2.34, 2 Ag 2.58
Zn: 0.0129 0.7629 0.0258  8 Zn 2.86-2.97, 2 Ag 3.06
Zn: 0.0670 0.8573 0.7492  1 Cu 2.53, 3 Zn 2.68-2.76, 1 Ag 2.74
Zn: 0.6822 0.3919 0.7492  1 Cu 2.53, 3 Zn 2.68-2.76, 1 Ag 2.74
Zn: 0.6822 0.8573 0.7492  1 Cu 2.53, 3 Zn 2.68-2.76, 1 Ag 2.74
Zn: 0.0670 0.3919 0.7492  1 Cu 2.53, 3 Zn 2.68-2.76, 1 Ag 2.74
Cu: 0.5000 0.5000 0.0000  6 Zn 2.34-2.53
Cu: 0.5000 0.0000 0.0000  6 Zn 2.34-2.53
Ag: 0.5000 0.0000 0.5000  6 Zn 2.58-2.74
Ag: 0.0000 0.0000 0.5000  6 Zn 2.58-2.74

Output
For the formation enthalpy at 0 K, the calculation gives 0.4 kcal/mol of atoms. Its space group is Imma.

---

# 8
Density functional theory data (PBE) for U6CS5 after structural relaxation.

a = 6.5658 Å, b = 6.6226 Å, c = 6.6253 Å
α = 60.01°, β = 80.25°, γ = 70.19°
With the nearest neighbours (Å) after each atom.
Positions (direct):
C: 0.0000 0.0000 0.0000  6 U 2.51-2.55
U: 0.7662 0.0768 0.3116  1 C 2.51, 5 S 2.70-2.78
U: 0.2338 0.6116 0.3116  1 C 2.51, 5 S 2.70-2.78
U: 0.2440 0.2292 0.0000  1 C 2.55, 5 S 2.72-2.84
U: 0.7560 0.7708 0.0000  1 C 2.55, 5 S 2.72-2.84
U: 0.7662 0.3884 0.6884  1 C 2.51, 5 S 2.70-2.78
U: 0.2338 0.9232 0.6884  1 C 2.51, 5 S 2.70-2.78
S: 0.5000 0.1784 0.6432  6 U 2.71-2.78
S: 0.0000 0.3359 0.3282  6 U 2.71-2.72
S: 0.5000 0.5000 0.0000  6 U 2.70-2.84
S: 0.0000 0.6641 0.6718  6 U 2.71-2.72
S: 0.5000 0.8216 0.3568  6 U 2.71-2.78

Output
As for the formation energy from raw total energies: -13.85 eV/f.u. Its space group is C2/m.

---

# 9
Density functional theory data (PBE) for MoS after structural relaxation.

a = 3.8316 Å, b = 3.8316 Å, c = 6.0295 Å
α = 90.00°, β = 90.00°, γ = 120.00°
With the nearest neighbours (Å) after each atom.
Positions (direct):
Mo: 0.3333 0.6667 0.7328  4 S 2.31-2.32
Mo: 0.6667 0.3333 0.2328  4 S 2.31-2.32
S: 0.3333 0.6667 0.3492  4 Mo 2.31-2.32
S: 0.6667 0.3333 0.8492  4 Mo 2.31-2.32

Output
As for the formation energy from raw total energies: 0.19 eV/f.u. As for the relative energy among the computed polymorphs: 551 meV per atom. Its space group is P6_3mc.

---

# 10
Density functional theory data (PBE) for MgVRe3 after structural relaxation.

a = 4.5316 Å, b = 4.5316 Å, c = 4.5316 Å
α = 90.00°, β = 90.00°, γ = 90.00°
With the nearest neighbours (Å) after each atom.
Positions (direct):
Re: 0.0000 0.5000 0.0000  2 V 2.27
Re: 0.0000 0.0000 0.5000  2 V 2.27
Re: 0.5000 0.0000 0.0000  2 V 2.27
Mg: 0.5000 0.5000 0.5000  12 Re 3.20
V: 0.0000 0.0000 0.0000  6 Re 2.27

Output
For the formation enthalpy at 0 K, the calculation gives 33.8 kcal/mol of atoms. Its space group is Pm-3m.

---

# 11
Density functional theory data (PBE) for Dy2SnAu4 after structural relaxation.

a = 4.8660 Å, b = 4.8660 Å, c = 8.5778 Å
α = 73.52°, β = 73.52°, γ = 60.00°
With the nearest neighbours (Å) after each atom.
Positions (direct):
Dy: 0.7510 0.7510 0.7469  8 Au 2.91-3.12
Dy: 0.2490 0.2490 0.2531  8 Au 2.91-3.12
Sn: 0.0000 0.0000 0.0000  8 Au 3.01-3.14
Au: 0.8708 0.8708 0.3876  4 Dy 2.91-3.01, 1 Sn 3.14
Au: 0.1292 0.1292 0.6125  4 Dy 2.91-3.01, 1 Sn 3.14
Au: 0.6225 0.6225 0.1324  4 Dy 2.97-3.12, 3 Sn 3.01
Au: 0.3775 0.3775 0.8676  4 Dy 2.97-3.12, 3 Sn 3.01

Output
For the formation enthalpy at 0 K, the calculation gives -13.9 kcal/mol of atoms. Its space group is R-3m.

---

# 12
Density functional theory data (PBE) for Cs2K2Rh after structural relaxation.

a = 5.2162 Å, b = 5.2162 Å, c = 11.1660 Å
α = 76.49°, β = 76.49°, γ = 90.00°
With the nearest neighbours (Å) after each atom.
Positions (direct):
Cs: 0.7500 0.2500 0.5000  4 Cs 3.69
Cs: 0.2500 0.7500 0.5000  4 Cs 3.69
K: 0.4252 0.4252 0.1495  1 K 3.15
K: 0.5748 0.5748 0.8505  1 K 3.15
Rh: 0.0000 0.0000 0.0000  8 K 4.01

Output
For the formation enthalpy at 0 K, the calculation gives 22.0 kcal/mol of atoms. As for the relative energy among the computed polymorphs: 436 meV per atom. Its space group is I4/mmm.

---

Please write out number 6 again, unchanged.
Density functional theory data (PBE) for InNi2Br after structural relaxation.

a = 4.7829 Å, b = 4.7829 Å, c = 7.8956 Å
α = 72.37°, β = 72.37°, γ = 90.00°
With the nearest neighbours (Å) after each atom.
Positions (direct):
Ni: 0.5401 0.1250 0.2500  2 Br 2.29
Ni: 0.2099 0.6250 0.2500  2 Br 2.29
Ni: 0.3750 0.4599 0.7500  2 Br 2.29
Ni: 0.8750 0.7901 0.7500  2 Br 2.29
Br: 0.5000 0.5000 0.0000  4 Ni 2.29
Br: 0.2500 0.7500 0.5000  4 Ni 2.29
In: 0.0000 0.0000 0.0000  4 Ni 2.68
In: 0.7500 0.2500 0.5000  4 Ni 2.68

Output
As for the formation energy from raw total energies: 1.37 eV/f.u. As for the relative energy among the computed polymorphs: 294 meV per atom. Its space group is I-42d.